(1)
Entry from Alexandria: a relaxed YH2Cl crystal (PBE).

Theoretical density (g/cm³): 4.09
Space group: Fm-3m
Distance to the lowest polymorph of the same formula (kcal/mol of atoms): 4.77

Geometry as CIF:
```
data_YH2Cl
_chemical_formula_sum 'Y1 H2 Cl1'
_space_group_name_H-M_alt 'P 1'
_space_group_IT_number 1
_cell_length_a 4.172
_cell_length_b 4.172
_cell_length_c 4.172
_cell_angle_alpha 60.00
_cell_angle_beta 60.00
_cell_angle_gamma 60.00
loop_
_space_group_symop_operation_xyz
'x,y,z'
loop_
_atom_site_label
_atom_site_fract_x
_atom_site_fract_y
_atom_site_fract_z
Y1 0.000 0.000 0.000
H1 0.250 0.250 0.250
H2 0.750 0.750 0.750
Cl1 0.500 0.500 0.500
```

***

(2)
Entry from Alexandria: a relaxed YHCl4 crystal (PBE).

Theoretical density (g/cm³): 1.95
Space group: C2/c
Raw total energy (eV/f.u.): -27.2

Geometry as CIF:
```
data_YHCl4
_chemical_formula_sum 'Y2 H2 Cl8'
_space_group_name_H-M_alt 'P 1'
_space_group_IT_number 1
_cell_length_a 9.645
_cell_length_b 9.645
_cell_length_c 7.039
_cell_angle_alpha 91.24
_cell_angle_beta 91.24
_cell_angle_gamma 142.80
loop_
_space_group_symop_operation_xyz
'x,y,z'
loop_
_atom_site_label
_atom_site_fract_x
_atom_site_fract_y
_atom_site_fract_z
Y1 0.054 0.946 0.750
Y2 0.946 0.054 0.250
H1 0.347 0.653 0.250
H2 0.653 0.347 0.750
Cl1 0.115 0.429 0.139
Cl2 0.178 0.278 0.584
Cl3 0.278 0.178 0.084
Cl4 0.429 0.115 0.639
Cl5 0.571 0.885 0.361
Cl6 0.722 0.822 0.916
Cl7 0.822 0.722 0.416
Cl8 0.885 0.571 0.861
```

***

(3)
Entry from Alexandria: a relaxed YHCl crystal (PBE).

Theoretical density (g/cm³): 3.69
Space group: P-1
Raw total energy (eV/f.u.): -15.2

Geometry as CIF:
```
data_YHCl
_chemical_formula_sum 'Y6 H6 Cl6'
_space_group_name_H-M_alt 'P 1'
_space_group_IT_number 1
_cell_length_a 6.521
_cell_length_b 7.673
_cell_length_c 8.019
_cell_angle_alpha 112.15
_cell_angle_beta 109.81
_cell_angle_gamma 94.99
loop_
_space_group_symop_operation_xyz
'x,y,z'
loop_
_atom_site_label
_atom_site_fract_x
_atom_site_fract_y
_atom_site_fract_z
Y1 0.234 0.117 0.482
Y2 0.241 0.113 0.988
Y3 0.251 0.671 0.066
Y4 0.749 0.329 0.934
Y5 0.759 0.887 0.012
Y6 0.766 0.883 0.518
H1 0.086 0.357 0.939
H2 0.110 0.055 0.675
H3 0.450 0.917 0.074
H4 0.550 0.083 0.926
H5 0.890 0.945 0.325
H6 0.914 0.643 0.061
Cl1 0.037 0.291 0.258
Cl2 0.323 0.773 0.456
Cl3 0.429 0.523 0.777
Cl4 0.571 0.477 0.223
Cl5 0.677 0.227 0.544
Cl6 0.963 0.709 0.742
```

***

(4)
Entry from Alexandria: a relaxed Y2ZrHCl crystal (PBE).

Theoretical density (g/cm³): 4.09
Space group: P4/mmm
Raw total energy (eV/f.u.): -26.2

Geometry as CIF:
```
data_Y2ZrHCl
_chemical_formula_sum 'Y2 Zr1 H1 Cl1'
_space_group_name_H-M_alt 'P 1'
_space_group_IT_number 1
_cell_length_a 5.834
_cell_length_b 5.834
_cell_length_c 3.644
_cell_angle_alpha 90.00
_cell_angle_beta 90.00
_cell_angle_gamma 90.00
loop_
_space_group_symop_operation_xyz
'x,y,z'
loop_
_atom_site_label
_atom_site_fract_x
_atom_site_fract_y
_atom_site_fract_z
Y1 0.000 0.500 0.000
Y2 0.500 0.000 0.000
Zr1 0.000 0.000 0.000
H1 0.000 0.000 0.500
Cl1 0.500 0.500 0.500
```

***

(5)
Entry from Alexandria: a relaxed YbHCl crystal (PBE).

Theoretical density (g/cm³): 7.22
Space group: P4/nmm
Raw total energy (eV/f.u.): -11.5

Geometry as CIF:
```
data_YbHCl
_chemical_formula_sum 'Yb2 H2 Cl2'
_space_group_name_H-M_alt 'P 1'
_space_group_IT_number 1
_cell_length_a 3.785
_cell_length_b 3.785
_cell_length_c 6.721
_cell_angle_alpha 90.00
_cell_angle_beta 90.00
_cell_angle_gamma 90.00
loop_
_space_group_symop_operation_xyz
'x,y,z'
loop_
_atom_site_label
_atom_site_fract_x
_atom_site_fract_y
_atom_site_fract_z
Yb1 0.250 0.250 0.195
Yb2 0.750 0.750 0.805
H1 0.250 0.750 0.000
H2 0.750 0.250 0.000
Cl1 0.250 0.250 0.654
Cl2 0.750 0.750 0.346
```

***

(6)
Entry from Alexandria: a relaxed Zn5H3Cl12 crystal (PBE).

Theoretical density (g/cm³): 2.82
Space group: Ia-3d
Raw total energy (eV/f.u.): -46.7

Geometry as CIF:
```
data_Zn5H3Cl12
_chemical_formula_sum 'Zn20 H12 Cl48'
_space_group_name_H-M_alt 'P 1'
_space_group_IT_number 1
_cell_length_a 13.222
_cell_length_b 13.222
_cell_length_c 13.222
_cell_angle_alpha 109.47
_cell_angle_beta 109.47
_cell_angle_gamma 109.47
loop_
_space_group_symop_operation_xyz
'x,y,z'
loop_
_atom_site_label
_atom_site_fract_x
_atom_site_fract_y
_atom_site_fract_z
Zn1 0.000 0.000 0.000
Zn2 0.000 0.000 0.500
Zn3 0.000 0.500 0.000
Zn4 0.000 0.500 0.500
Zn5 0.125 0.750 0.875
Zn6 0.125 0.875 0.250
Zn7 0.250 0.125 0.875
Zn8 0.250 0.625 0.375
Zn9 0.375 0.250 0.625
Zn10 0.375 0.625 0.750
Zn11 0.500 0.000 0.000
Zn12 0.500 0.000 0.500
Zn13 0.500 0.500 0.000
Zn14 0.500 0.500 0.500
Zn15 0.625 0.375 0.250
Zn16 0.625 0.750 0.375
Zn17 0.750 0.375 0.625
Zn18 0.750 0.875 0.125
Zn19 0.875 0.125 0.750
Zn20 0.875 0.250 0.125
H1 0.125 0.250 0.375
H2 0.125 0.375 0.750
H3 0.250 0.375 0.125
H4 0.250 0.875 0.625
H5 0.375 0.125 0.250
H6 0.375 0.750 0.125
H7 0.625 0.250 0.875
H8 0.625 0.875 0.750
H9 0.750 0.125 0.375
H10 0.750 0.625 0.875
H11 0.875 0.625 0.250
H12 0.875 0.750 0.625
Cl1 0.027 0.205 0.125
Cl2 0.027 0.322 0.903
Cl3 0.080 0.705 0.678
Cl4 0.080 0.875 0.403
Cl5 0.097 0.625 0.420
Cl6 0.097 0.973 0.678
Cl7 0.125 0.027 0.205
Cl8 0.125 0.597 0.920
Cl9 0.178 0.205 0.580
Cl10 0.178 0.473 0.597
Cl11 0.205 0.125 0.027
Cl12 0.205 0.580 0.178
Cl13 0.295 0.322 0.920
Cl14 0.295 0.473 0.375
Cl15 0.322 0.903 0.027
Cl16 0.322 0.920 0.295
Cl17 0.375 0.295 0.473
Cl18 0.375 0.580 0.903
Cl19 0.403 0.080 0.875
Cl20 0.403 0.822 0.527
Cl21 0.420 0.097 0.625
Cl22 0.420 0.822 0.795
Cl23 0.473 0.375 0.295
Cl24 0.473 0.597 0.178
Cl25 0.527 0.403 0.822
Cl26 0.527 0.625 0.705
Cl27 0.580 0.178 0.205
Cl28 0.580 0.903 0.375
Cl29 0.597 0.178 0.473
Cl30 0.597 0.920 0.125
Cl31 0.625 0.420 0.097
Cl32 0.625 0.705 0.527
Cl33 0.678 0.080 0.705
Cl34 0.678 0.097 0.973
Cl35 0.705 0.527 0.625
Cl36 0.705 0.678 0.080
Cl37 0.795 0.420 0.822
Cl38 0.795 0.875 0.973
Cl39 0.822 0.527 0.403
Cl40 0.822 0.795 0.420
Cl41 0.875 0.403 0.080
Cl42 0.875 0.973 0.795
Cl43 0.903 0.027 0.322
Cl44 0.903 0.375 0.580
Cl45 0.920 0.125 0.597
Cl46 0.920 0.295 0.322
Cl47 0.973 0.678 0.097
Cl48 0.973 0.795 0.875
```